## TaSi (PBE-GGA)

Data for a relaxed structure of TaSi.

The total magnetic moment comes out at 0.00 μB per formula unit. The value obtained for the formation energy without anion corrections is -0.1459 eV/atom. Its space-group type is P4/mmm, No. 123.

Structure (CIF):
```
data_TaSi
_chemical_formula_sum 'Ta1 Si1'
_space_group_name_H-M_alt 'P 1'
_space_group_IT_number 1
_cell_length_a 3.337
_cell_length_b 3.337
_cell_length_c 2.821
_cell_angle_alpha 90.00
_cell_angle_beta 90.00
_cell_angle_gamma 90.00
loop_
_space_group_symop_operation_xyz
'x,y,z'
loop_
_atom_site_label
_atom_site_fract_x
_atom_site_fract_y
_atom_site_fract_z
Si1 0.000 0.000 0.500
Ta1 0.500 0.500 0.000
```

=====

## CeCdNiRu (PBE-GGA)

Data for a relaxed structure of CeCdNiRu.

The total magnetic moment comes out at 0.00 μB per formula unit. The calculation puts the calculated formation energy at -0.43 eV per formula unit. Its space-group type is F-43m, No. 216.

Structure (CIF):
```
data_CeCdNiRu
_chemical_formula_sum 'Ce1 Cd1 Ni1 Ru1'
_space_group_name_H-M_alt 'P 1'
_space_group_IT_number 1
_cell_length_a 4.687
_cell_length_b 4.687
_cell_length_c 4.687
_cell_angle_alpha 60.00
_cell_angle_beta 60.00
_cell_angle_gamma 60.00
loop_
_space_group_symop_operation_xyz
'x,y,z'
loop_
_atom_site_label
_atom_site_fract_x
_atom_site_fract_y
_atom_site_fract_z
Ni1 0.250 0.250 0.250
Cd1 0.000 0.000 0.000
Ce1 0.500 0.500 0.500
Ru1 0.750 0.750 0.750
```

=====

## FeCuTc2 (PBE-GGA)

Data for a relaxed structure of FeCuTc2.

The total magnetic moment comes out at 1.99 μB per formula unit. The energy above the lowest structure with this stoichiometry comes out at 57 meV per atom. The calculation puts the calculated formation energy at 0.85 eV per formula unit. Its space-group type is Cmmm, No. 65.

Structure (CIF):
```
data_FeCuTc2
_chemical_formula_sum 'Fe1 Cu1 Tc2'
_space_group_name_H-M_alt 'P 1'
_space_group_IT_number 1
_cell_length_a 4.713
_cell_length_b 4.713
_cell_length_c 2.564
_cell_angle_alpha 90.00
_cell_angle_beta 90.00
_cell_angle_gamma 112.20
loop_
_space_group_symop_operation_xyz
'x,y,z'
loop_
_atom_site_label
_atom_site_fract_x
_atom_site_fract_y
_atom_site_fract_z
Fe1 0.000 0.500 0.500
Cu1 0.500 0.000 0.500
Tc1 0.500 0.500 0.000
Tc2 0.000 0.000 0.000
```

=====

## Ho2Pu3USe6 (PBE-GGA)

Data for a relaxed structure of Ho2Pu3USe6.

The total magnetic moment comes out at 14.53 μB per formula unit. The value obtained for the formation energy without anion corrections is -1.5119 eV/atom. Its space-group type is C2/m, No. 12.

Structure (CIF):
```
data_Ho2Pu3USe6
_chemical_formula_sum 'Ho2 Pu3 U1 Se6'
_space_group_name_H-M_alt 'P 1'
_space_group_IT_number 1
_cell_length_a 4.053
_cell_length_b 8.282
_cell_length_c 9.213
_cell_angle_alpha 104.04
_cell_angle_beta 102.71
_cell_angle_gamma 90.00
loop_
_space_group_symop_operation_xyz
'x,y,z'
loop_
_atom_site_label
_atom_site_fract_x
_atom_site_fract_y
_atom_site_fract_z
Ho1 0.163 0.326 0.326
Ho2 0.837 0.674 0.674
Se1 0.999 0.750 0.999
Se2 0.670 0.577 0.339
Se3 0.667 0.085 0.334
Se4 0.333 0.915 0.666
Se5 0.330 0.423 0.661
Se6 0.001 0.250 0.001
Pu1 0.834 0.169 0.668
Pu2 0.166 0.831 0.332
Pu3 0.500 0.500 0.000
U1 0.500 0.000 0.000
```

=====

## SrTl2S (PBE-GGA)

Data for a relaxed structure of SrTl2S.

The total magnetic moment comes out at 0.00 μB per formula unit. The value obtained for the formation energy without anion corrections is -0.5388 eV/atom. Its space-group type is I-42d, No. 122.

Structure (CIF):
```
data_SrTl2S
_chemical_formula_sum 'Sr2 Tl4 S2'
_space_group_name_H-M_alt 'P 1'
_space_group_IT_number 1
_cell_length_a 9.550
_cell_length_b 9.550
_cell_length_c 7.351
_cell_angle_alpha 49.49
_cell_angle_beta 49.49
_cell_angle_gamma 90.00
loop_
_space_group_symop_operation_xyz
'x,y,z'
loop_
_atom_site_label
_atom_site_fract_x
_atom_site_fract_y
_atom_site_fract_z
Tl1 0.875 0.804 0.750
Tl2 0.375 0.446 0.750
Tl3 0.554 0.125 0.250
Tl4 0.196 0.625 0.250
Sr1 0.750 0.250 0.500
Sr2 0.000 0.000 0.000
S1 0.250 0.750 0.500
S2 0.500 0.500 0.000
```

=====

## Pa3IrRh2 (PBE-GGA)

Data for a relaxed structure of Pa3IrRh2.

The total magnetic moment comes out at 0.00 μB per formula unit. The calculation puts the calculated formation energy at -3.77 eV per formula unit. Its space-group type is Immm, No. 71.

Structure (CIF):
```
data_Pa3IrRh2
_chemical_formula_sum 'Pa6 Ir2 Rh4'
_space_group_name_H-M_alt 'P 1'
_space_group_IT_number 1
_cell_length_a 9.226
_cell_length_b 9.223
_cell_length_c 4.377
_cell_angle_alpha 103.73
_cell_angle_beta 103.73
_cell_angle_gamma 127.24
loop_
_space_group_symop_operation_xyz
'x,y,z'
loop_
_atom_site_label
_atom_site_fract_x
_atom_site_fract_y
_atom_site_fract_z
Rh1 0.000 0.000 0.000
Rh2 0.184 0.816 0.500
Rh3 0.816 0.184 0.500
Rh4 0.500 0.500 0.500
Pa1 0.749 0.749 0.249
Pa2 0.907 0.592 0.750
Pa3 0.408 0.093 0.250
Pa4 0.093 0.408 0.250
Pa5 0.592 0.907 0.750
Pa6 0.251 0.251 0.751
Ir1 0.691 0.309 0.000
Ir2 0.309 0.691 0.000
```

=====

## SmDy12Tm7 (PBE-GGA)

Data for a relaxed structure of SmDy12Tm7.

The total magnetic moment comes out at 0.00 μB per formula unit. The energy above the lowest structure with this stoichiometry comes out at 416 meV per atom. The calculation puts the calculated formation energy at 14.46 eV per formula unit. Its space-group type is Im-3, No. 204.

Structure (CIF):
```
data_SmDy12Tm7
_chemical_formula_sum 'Sm1 Dy12 Tm7'
_space_group_name_H-M_alt 'P 1'
_space_group_IT_number 1
_cell_length_a 9.751
_cell_length_b 9.751
_cell_length_c 9.751
_cell_angle_alpha 109.47
_cell_angle_beta 109.47
_cell_angle_gamma 109.47
loop_
_space_group_symop_operation_xyz
'x,y,z'
loop_
_atom_site_label
_atom_site_fract_x
_atom_site_fract_y
_atom_site_fract_z
Tm1 0.000 0.500 0.000
Tm2 0.500 0.000 0.500
Tm3 0.000 0.500 0.500
Tm4 0.000 0.000 0.500
Tm5 0.500 0.500 0.000
Tm6 0.500 0.500 0.500
Tm7 0.500 0.000 0.000
Dy1 0.745 0.001 0.256
Dy2 0.001 0.256 0.745
Dy3 0.255 0.511 0.256
Dy4 0.745 0.489 0.744
Dy5 0.744 0.255 0.999
Dy6 0.511 0.256 0.255
Dy7 0.999 0.744 0.255
Dy8 0.255 0.999 0.744
Dy9 0.489 0.744 0.745
Dy10 0.744 0.745 0.489
Dy11 0.256 0.255 0.511
Dy12 0.256 0.745 0.001
Sm1 0.000 0.000 0.000
```

=====

## Na3Tl2In (PBE-GGA)

Data for a relaxed structure of Na3Tl2In.

The total magnetic moment comes out at 0.00 μB per formula unit. The energy above the lowest structure with this stoichiometry comes out at 0 meV per atom. The calculation puts the calculated formation energy at -0.54 eV per formula unit. Its space-group type is P2_1/c, No. 14.

Structure (CIF):
```
data_Na3Tl2In
_chemical_formula_sum 'Na12 Tl8 In4'
_space_group_name_H-M_alt 'P 1'
_space_group_IT_number 1
_cell_length_a 11.752
_cell_length_b 8.404
_cell_length_c 9.013
_cell_angle_alpha 90.00
_cell_angle_beta 127.73
_cell_angle_gamma 90.00
loop_
_space_group_symop_operation_xyz
'x,y,z'
loop_
_atom_site_label
_atom_site_fract_x
_atom_site_fract_y
_atom_site_fract_z
Tl1 0.206 0.550 0.799
Tl2 0.187 0.266 0.030
Tl3 0.687 0.234 0.530
Tl4 0.294 0.050 0.701
Tl5 0.813 0.734 0.970
Tl6 0.706 0.950 0.299
Tl7 0.313 0.766 0.470
Tl8 0.794 0.450 0.201
Na1 0.488 0.275 0.056
Na2 0.012 0.775 0.444
Na3 0.554 0.458 0.716
Na4 0.446 0.542 0.284
Na5 0.512 0.725 0.944
Na6 0.172 0.416 0.417
Na7 0.828 0.584 0.583
Na8 0.672 0.084 0.917
Na9 0.946 0.958 0.784
Na10 0.988 0.225 0.556
Na11 0.328 0.916 0.083
Na12 0.054 0.042 0.216
In1 0.104 0.638 0.048
In2 0.396 0.138 0.452
In3 0.896 0.362 0.952
In4 0.604 0.862 0.548
```

=====

## BaPuMoN3 (PBE-GGA)

Data for a relaxed structure of BaPuMoN3.

The total magnetic moment comes out at 4.12 μB per formula unit. The value obtained for the formation energy without anion corrections is -0.7957 eV/atom. Its space-group type is C2/m, No. 12.

Structure (CIF):
```
data_BaPuMoN3
_chemical_formula_sum 'Ba2 Pu2 Mo2 N6'
_space_group_name_H-M_alt 'P 1'
_space_group_IT_number 1
_cell_length_a 3.923
_cell_length_b 7.093
_cell_length_c 7.533
_cell_angle_alpha 104.37
_cell_angle_beta 90.00
_cell_angle_gamma 106.05
loop_
_space_group_symop_operation_xyz
'x,y,z'
loop_
_atom_site_label
_atom_site_fract_x
_atom_site_fract_y
_atom_site_fract_z
Pu1 0.340 0.680 0.427
Pu2 0.660 0.320 0.573
Ba1 0.360 0.720 0.929
Ba2 0.640 0.280 0.071
Mo1 0.999 0.997 0.330
Mo2 0.001 0.003 0.670
N1 0.494 0.988 0.697
N2 0.170 0.340 0.380
N3 0.847 0.695 0.224
N4 0.830 0.660 0.620
N5 0.153 0.305 0.776
N6 0.506 0.012 0.303
```

=====

## Pm2PrInH (PBE-GGA)

Data for a relaxed structure of Pm2PrInH.

The total magnetic moment comes out at 0.55 μB per formula unit. Its space-group type is P4/mmm, No. 123. The calculation puts the final energy at -4.434 eV/atom.

Structure (CIF):
```
data_Pm2PrInH
_chemical_formula_sum 'Pm2 Pr1 In1 H1'
_space_group_name_H-M_alt 'P 1'
_space_group_IT_number 1
_cell_length_a 4.951
_cell_length_b 5.027
_cell_length_c 5.027
_cell_angle_alpha 90.00
_cell_angle_beta 90.00
_cell_angle_gamma 90.00
loop_
_space_group_symop_operation_xyz
'x,y,z'
loop_
_atom_site_label
_atom_site_fract_x
_atom_site_fract_y
_atom_site_fract_z
Pr1 0.500 0.000 0.000
In1 0.500 0.500 0.500
H1 0.000 0.000 0.000
Pm1 0.000 0.500 0.000
Pm2 0.000 0.000 0.500
```

=====

## MnIr2W (PBE-GGA)

Data for a relaxed structure of MnIr2W.

The total magnetic moment comes out at 2.96 μB per formula unit. The energy above the lowest structure with this stoichiometry comes out at 1173 meV per atom. The calculation puts the calculated formation energy at 3.64 eV per formula unit. Its space-group type is I-42d, No. 122.

Structure (CIF):
```
data_MnIr2W
_chemical_formula_sum 'Mn2 Ir4 W2'
_space_group_name_H-M_alt 'P 1'
_space_group_IT_number 1
_cell_length_a 5.577
_cell_length_b 5.577
_cell_length_c 6.745
_cell_angle_alpha 65.58
_cell_angle_beta 65.58
_cell_angle_gamma 90.00
loop_
_space_group_symop_operation_xyz
'x,y,z'
loop_
_atom_site_label
_atom_site_fract_x
_atom_site_fract_y
_atom_site_fract_z
Mn1 0.250 0.750 0.500
Mn2 0.500 0.500 0.000
Ir1 0.375 0.387 0.750
Ir2 0.137 0.625 0.250
Ir3 0.875 0.863 0.750
Ir4 0.613 0.125 0.250
W1 0.750 0.250 0.500
W2 0.000 0.000 0.000
```

=====

## Zr2AlNi5 (PBE-GGA)

Data for a relaxed structure of Zr2AlNi5.

The total magnetic moment comes out at 0.00 μB per formula unit. The energy above the lowest structure with this stoichiometry comes out at 0 meV per atom. The calculation puts the calculated formation energy at -3.61 eV per formula unit. Its space-group type is Pbam, No. 55.

Structure (CIF):
```
data_Zr2AlNi5
_chemical_formula_sum 'Zr4 Al2 Ni10'
_space_group_name_H-M_alt 'P 1'
_space_group_IT_number 1
_cell_length_a 3.973
_cell_length_b 4.745
_cell_length_c 12.005
_cell_angle_alpha 90.00
_cell_angle_beta 90.00
_cell_angle_gamma 90.00
loop_
_space_group_symop_operation_xyz
'x,y,z'
loop_
_atom_site_label
_atom_site_fract_x
_atom_site_fract_y
_atom_site_fract_z
Ni1 0.000 0.252 0.313
Ni2 0.000 0.000 0.000
Ni3 0.500 0.259 0.939
Ni4 0.000 0.752 0.187
Ni5 0.000 0.248 0.813
Ni6 0.000 0.500 0.500
Ni7 0.500 0.759 0.561
Ni8 0.000 0.748 0.687
Ni9 0.500 0.741 0.061
Ni10 0.500 0.241 0.439
Zr1 0.500 0.272 0.662
Zr2 0.500 0.772 0.838
Zr3 0.500 0.728 0.338
Zr4 0.500 0.228 0.162
Al1 0.000 0.500 0.000
Al2 0.000 0.000 0.500
```

=====

Number 1: density 11.05 Mg/m³. Number 2: density 9.40 Mg/m³. Number 3: density 9.93 Mg/m³. Number 4: density 10.08 Mg/m³. Number 5: density 6.63 Mg/m³. Number 6: density 14.46 Mg/m³. Number 7: density 7.64 Mg/m³. Number 8: density 5.59 Mg/m³. Number 9: density 8.86 Mg/m³. Number 10: density 7.26 Mg/m³. Number 11: density 12.16 Mg/m³. Number 12: density 7.38 Mg/m³.